The following is a DFT calculation (SCAN) of a PBEsol-optimized structure of LuMgRh2.

Structure (extended XYZ):
```
4
Lattice="0.000 3.193 3.193 3.193 0.000 3.193 3.193 3.193 0.000" Properties=species:S:1:pos:R:3 pbc="T T T"
Lu 0.000 0.000 0.000
Mg 3.193 3.193 3.193
Rh 1.597 1.597 1.597
Rh 4.790 4.790 4.790
```

Values from the calculation:
crystal system = cubic
DFT formation energy = -0.916 eV per atom
density = 10.33 g/cm3
total moment = 0.00 μB per formula unit

=====

The following is a DFT calculation (SCAN) of a PBEsol-optimized structure of Lu2MgS4.

Structure (extended XYZ):
```
14
Lattice="0.000 5.431 5.431 5.431 0.000 5.431 5.431 5.431 0.000" Properties=species:S:1:pos:R:3 pbc="T T T"
Lu 0.000 0.000 0.000
Lu 2.716 2.716 0.000
Lu 2.716 0.000 2.716
Lu 0.000 2.716 2.716
Mg 4.073 4.073 4.073
Mg 6.789 6.789 6.789
S 8.213 5.365 5.365
S 2.649 2.649 2.649
S 5.498 5.498 2.649
S 5.498 2.649 5.498
S 5.365 8.213 5.365
S 5.365 5.365 8.213
S 8.213 8.213 8.213
S 2.649 5.498 5.498
```

Values from the calculation:
crystal system = cubic
density = 5.21 g/cm3
total moment = 0.00 μB per formula unit
E above lowest polymorph = 0 meV/atom

=====

The following is a DFT calculation (SCAN) of a PBEsol-optimized structure of Lu2MgS4.

Structure (extended XYZ):
```
28
Lattice="12.274 0.000 0.000 0.000 3.725 0.000 0.000 0.000 12.820" Properties=species:S:1:pos:R:3 pbc="T T T"
Lu 1.401 0.931 0.996
Lu 1.750 0.931 9.026
Lu 4.387 2.794 2.616
Lu 4.736 2.794 7.406
Lu 7.538 0.931 5.414
Lu 7.887 0.931 10.205
Lu 10.524 2.794 3.795
Lu 10.873 2.794 11.824
Mg 1.452 2.794 5.632
Mg 4.685 0.931 12.042
Mg 7.589 2.794 0.778
Mg 10.822 0.931 7.188
S 0.198 2.794 7.899
S 0.372 0.931 11.311
S 2.712 0.931 3.277
S 3.002 0.931 6.630
S 3.136 2.794 0.219
S 3.425 2.794 9.688
S 5.765 2.794 4.901
S 5.939 0.931 1.489
S 6.335 2.794 11.332
S 6.509 0.931 7.920
S 8.849 0.931 3.133
S 9.139 0.931 12.601
S 9.273 2.794 6.191
S 9.562 2.794 9.543
S 11.902 2.794 1.510
S 12.076 0.931 4.922
```

Values from the calculation:
crystal system = orthorhombic
density = 5.69 g/cm3
total moment = 0.00 μB per formula unit
E above lowest polymorph = 78 meV/atom

=====

Question: What is the density in the first record?
Answer: 10.33 g/cm3

=====

Question: Among the records above, which one has the highest density?
Answer: LuMgRh2